Entry from Alexandria via LeMat-Bulk: crystalline AcPmEu2 at its relaxed geometry (GGA-PBE).

Properties
Energy of formation from the pure elements: 0.11 eV/atom

POSCAR file:
```
AcPmEu2
1.0
6.1076 0.0000 0.0000
3.0538 5.2893 0.0000
3.0538 1.7631 4.9868
Ac Pm Eu
1 1 2
Direct
0.0000 0.0000 0.0000
0.5000 0.5000 0.5000
0.7500 0.7500 0.7500
0.2500 0.2500 0.2500
```

---

Entry from Alexandria via LeMat-Bulk: crystalline Y2NbSnRh at its relaxed geometry (GGA-PBE).

Properties
Energy of formation from the pure elements: 0.39 eV/atom

POSCAR file:
```
Y2NbSnRh
1.0
5.4702 0.0000 0.0000
0.0000 4.6748 0.0000
0.0000 0.0000 5.4702
Y Sn Rh Nb
2 1 1 1
Direct
0.5000 0.0000 0.0000
0.0000 0.0000 0.5000
0.5000 0.5000 0.5000
0.0000 0.5000 0.0000
0.0000 0.0000 0.0000
```

---

Entry from Alexandria via LeMat-Bulk: crystalline GePd at its relaxed geometry (GGA-PBE).

Properties
Energy of formation from the pure elements: 0.09 eV/atom

POSCAR file:
```
GePd
1.0
6.8996 0.0000 0.0000
0.0000 6.8996 0.0000
0.0000 0.0000 6.8996
Ge Pd
6 6
Direct
0.0000 0.5000 0.7500
0.7500 0.0000 0.5000
0.2500 0.0000 0.5000
0.0000 0.5000 0.2500
0.5000 0.7500 0.0000
0.5000 0.2500 0.0000
0.2500 0.5000 0.0000
0.0000 0.7500 0.5000
0.0000 0.2500 0.5000
0.7500 0.5000 0.0000
0.5000 0.0000 0.2500
0.5000 0.0000 0.7500
```

---

Entry from Alexandria via LeMat-Bulk: crystalline Ba2TcPt at its relaxed geometry (GGA-PBE).

Properties
Energy of formation from the pure elements: 0.06 eV/atom

POSCAR file:
```
Ba2TcPt
1.0
-1.6683 2.5740 -3.3623
-2.2320 -4.0700 -2.0083
-5.7524 -1.0148 2.0773
Pt Ba Tc
1 2 1
Direct
0.0000 0.6687 0.5377
0.0000 0.9762 0.9226
0.5000 0.2690 0.3372
0.5000 0.5861 0.7026
```

---

Entry from Alexandria via LeMat-Bulk: crystalline UGaSe at its relaxed geometry (GGA-PBE).

Properties
Formation energy (no corrections): -0.5201 eV/atom

POSCAR file:
```
UGaSe
1.0
4.1195 0.0000 0.0000
0.0000 3.6244 0.0000
0.0000 1.8122 8.7435
U Ga Se
2 2 2
Direct
0.2500 0.8732 0.2536
0.7500 0.1268 0.7464
0.7500 0.4646 0.0707
0.2500 0.5354 0.9293
0.2500 0.6928 0.6144
0.7500 0.3072 0.3856
```

---

Entry from Alexandria via LeMat-Bulk: crystalline PWICl2 at its relaxed geometry (GGA-PBE).

Properties
Formation energy (no corrections): 0.1787 eV/atom

POSCAR file:
```
PWICl2
1.0
-1.4405 4.0739 -1.9407
-1.2101 -2.3113 -3.9537
-4.5916 -0.7463 1.8417
Cl W I P
2 1 1 1
Direct
0.5000 0.0000 0.0000
0.0000 0.5000 0.0000
0.0000 0.0000 0.0000
0.5000 0.5000 0.5000
0.0000 0.0000 0.5000
```

---

Entry from Alexandria via LeMat-Bulk: crystalline LaIn2Ga2 at its relaxed geometry (GGA-PBE).

Properties
Energy of formation from the pure elements: -0.28 eV/atom

POSCAR file:
```
LaIn2Ga2
1.0
8.2030 0.0000 0.0000
0.0000 8.2030 0.0000
0.0000 0.0000 3.6450
La In Ga
2 4 4
Direct
0.5000 0.5000 0.0000
0.0000 0.0000 0.0000
0.6661 0.8339 0.5000
0.1661 0.6661 0.5000
0.3339 0.1661 0.5000
0.8339 0.3339 0.5000
0.1259 0.3741 0.0000
0.3741 0.8741 0.0000
0.8741 0.6259 0.0000
0.6259 0.1259 0.0000
```

---

Entry from Alexandria via LeMat-Bulk: crystalline KZn3Fe at its relaxed geometry (GGA-PBE).

Properties
Energy of formation from the pure elements: 1.48 eV/atom

POSCAR file:
```
KZn3Fe
1.0
6.0415 0.0000 0.0000
0.0000 6.0415 0.0000
0.0000 0.0000 6.0415
Zn Fe K
3 1 1
Direct
0.5000 0.0000 0.0000
0.0000 0.0000 0.5000
0.0000 0.5000 0.0000
0.5000 0.5000 0.5000
0.0000 0.0000 0.0000
```

---

Entry from Alexandria via LeMat-Bulk: crystalline Dy2Ho7In at its relaxed geometry (GGA-PBE).

Properties
Energy of formation from the pure elements: 0.59 eV/atom

POSCAR file:
```
Dy2Ho7In
1.0
5.2746 0.0000 0.0000
0.0000 9.1647 -0.5656
0.0000 -4.6395 7.9238
In Dy Ho
1 2 7
Direct
0.0000 0.0000 0.0000
0.5000 0.2927 0.7073
0.5000 0.7073 0.2927
0.5000 0.0713 0.2826
0.5000 0.2826 0.0713
0.5000 0.5000 0.5000
0.5000 0.9287 0.7174
0.0000 0.8002 0.1998
0.0000 0.1998 0.8002
0.5000 0.7174 0.9287
```

---

Entry from Alexandria via LeMat-Bulk: crystalline ScAlHgPd at its relaxed geometry (GGA-PBE).

Properties
Energy of formation from the pure elements: -0.57 eV/atom

POSCAR file:
```
ScAlHgPd
1.0
-3.9930 -2.4232 -0.0164
0.0742 -4.6280 0.6260
-1.6277 -1.8461 3.9697
Pd Sc Hg Al
1 1 1 1
Direct
0.7500 0.7500 0.7500
0.0000 0.0000 0.0000
0.2500 0.2500 0.2500
0.5000 0.5000 0.5000
```

---

Entry from Alexandria via LeMat-Bulk: crystalline MgNbAg at its relaxed geometry (GGA-PBE).

Properties
Energy of formation from the pure elements: 0.17 eV/atom

POSCAR file:
```
MgNbAg
1.0
5.5170 0.0642 -0.0078
-0.6264 2.7496 -0.0098
-1.5446 0.6658 7.2797
Nb Ag Mg
2 2 2
Direct
0.9704 0.2530 0.3272
0.4699 0.7538 0.3260
0.1357 0.0895 0.9915
0.6368 0.5831 0.9919
0.8058 0.4197 0.6696
0.3065 0.9153 0.6704
```

---

Entry from Alexandria via LeMat-Bulk: crystalline Mn2RhBr at its relaxed geometry (GGA-PBE).

Properties
Formation energy (no corrections): 0.3731 eV/atom

POSCAR file:
```
Mn2RhBr
1.0
-1.8070 2.5837 0.2809
-2.1388 -1.0633 -3.9788
-3.1533 -2.4612 2.3528
Rh Mn Br
1 2 1
Direct
0.5000 0.5000 0.0000
0.0000 0.5000 0.5000
0.0000 0.0000 0.0000
0.5000 0.0000 0.5000
```

---

Entry from Alexandria via LeMat-Bulk: crystalline TiB3Sb at its relaxed geometry (GGA-PBE).

Properties
Formation energy (no corrections): 2.1212 eV/atom

POSCAR file:
```
TiB3Sb
1.0
4.3688 0.0000 0.0000
0.0000 4.3688 0.0000
0.0000 0.0000 4.3688
Ti B Sb
1 3 1
Direct
0.5000 0.5000 0.5000
0.5000 0.0000 0.0000
0.0000 0.5000 0.0000
0.0000 0.0000 0.5000
0.0000 0.0000 0.0000
```

---

Entry from Alexandria via LeMat-Bulk: crystalline NaBr2O at its relaxed geometry (GGA-PBE).

Properties
Formation energy (no corrections): -0.2560 eV/atom

POSCAR file:
```
NaBr2O
1.0
-2.9693 -6.5114 1.6241
1.7121 -7.0072 1.3495
-0.2393 -5.1518 5.2206
Na O Br
1 1 2
Direct
0.5000 0.5000 0.5000
0.0000 0.0000 0.0000
0.8978 0.8978 0.8978
0.1022 0.1022 0.1022
```

---

Entry from Alexandria via LeMat-Bulk: crystalline ZrZnAu at its relaxed geometry (GGA-PBE).

Properties
Energy of formation from the pure elements: -0.30 eV/atom

POSCAR file:
```
ZrZnAu
1.0
5.0265 -0.0096 -0.0137
2.3549 4.4407 0.0137
-3.2657 -2.9235 2.4605
Au Zn Zr
1 1 1
Direct
0.9981 0.9981 0.0000
0.3328 0.3328 0.0000
0.6691 0.6691 0.0000
```

---

Entry from Alexandria via LeMat-Bulk: crystalline Ca2MgNiSn at its relaxed geometry (GGA-PBE).

Properties
Energy of formation from the pure elements: 0.33 eV/atom

POSCAR file:
```
Ca2MgNiSn
1.0
-0.2241 -5.6541 1.0800
3.1307 0.4719 3.1200
-4.0834 0.9179 3.9585
Mg Ni Ca Sn
1 1 2 1
Direct
0.0000 0.0000 0.0000
0.0000 0.5000 0.0000
0.0000 0.0000 0.5000
0.5000 0.0000 0.0000
0.5000 0.5000 0.5000
```

---

Entry from Alexandria via LeMat-Bulk: crystalline La2PmDyY2 at its relaxed geometry (GGA-PBE).

Properties
Energy of formation from the pure elements: 0.26 eV/atom

POSCAR file:
```
La2PmDyY2
1.0
3.4396 0.0000 0.0000
0.0000 6.6246 0.0000
0.0000 0.0000 18.4560
Dy La Pm Y
2 4 2 4
Direct
0.0000 0.0000 0.5000
0.5000 0.5000 0.0000
0.5000 0.2805 0.3128
0.5000 0.7195 0.6872
0.0000 0.2195 0.8128
0.0000 0.7805 0.1872
0.5000 0.5000 0.5000
0.0000 0.0000 0.0000
0.5000 0.7844 0.3558
0.0000 0.7156 0.8558
0.5000 0.2156 0.6442
0.0000 0.2844 0.1442
```

---

Entry from Alexandria via LeMat-Bulk: crystalline Er2TeN at its relaxed geometry (GGA-PBE).

Properties
Formation energy (no corrections): -1.3737 eV/atom

POSCAR file:
```
Er2TeN
1.0
-0.9751 -0.4387 3.5560
-2.8311 -2.2331 0.8870
3.0575 -6.1625 2.0168
Te Er N
1 2 1
Direct
0.5000 0.5000 0.5000
0.2725 0.2725 0.1825
0.7275 0.7275 0.8175
0.0000 0.0000 0.0000
```

---

Entry from Alexandria via LeMat-Bulk: crystalline NdAlGaGe2 at its relaxed geometry (GGA-PBE).

Properties
Energy of formation from the pure elements: -0.34 eV/atom

POSCAR file:
```
NdAlGaGe2
1.0
4.7284 0.0000 0.0000
-2.3642 5.2401 -0.4079
0.0000 -1.9714 8.6300
Ga Ge Al Nd
2 4 2 2
Direct
0.3657 0.7314 0.9273
0.6343 0.2686 0.0727
0.9022 0.8045 0.0615
0.6739 0.3478 0.3675
0.3261 0.6522 0.6325
0.0978 0.1955 0.9385
0.0876 0.1752 0.4123
0.9124 0.8248 0.5877
0.3597 0.7195 0.2796
0.6403 0.2805 0.7204
```

---

Entry from Alexandria via LeMat-Bulk: crystalline SmThSn2 at its relaxed geometry (GGA-PBE).

Properties
Energy of formation from the pure elements: -0.57 eV/atom

POSCAR file:
```
SmThSn2
1.0
-3.1990 1.1930 -2.9373
-3.3167 0.3025 3.7351
1.1867 4.8161 0.6637
Sm Th Sn
1 1 2
Direct
0.5000 0.5000 0.5000
0.5000 0.0000 0.0000
0.0000 0.0000 0.5000
0.0000 0.5000 0.0000
```

---

Number 1: density of states at the Fermi level 4.89 states/eV/cell, electronic total energy -7.2424 eV per atom. Number 2: density of states at the Fermi level 4.42 states/eV/cell, electronic total energy -6.4804 eV per atom. Number 3: density of states at the Fermi level 9.54 states/eV/cell, electronic total energy -4.8176 eV per atom. Number 4: density of states at the Fermi level 5.17 states/eV/cell, electronic total energy -5.0043 eV per atom. Number 5: density of states at the Fermi level 10.80 states/eV/cell, electronic total energy -6.4533 eV per atom. Number 6: density of states at the Fermi level 2.67 states/eV/cell, electronic total energy -4.5426 eV per atom. Number 7: density of states at the Fermi level 4.83 states/eV/cell, electronic total energy -3.5730 eV per atom. Number 8: density of states at the Fermi level 19.93 states/eV/cell, electronic total energy -1.2001 eV per atom. Number 9: density of states at the Fermi level 9.48 states/eV/cell, electronic total energy -3.8066 eV per atom. Number 10: density of states at the Fermi level 1.09 states/eV/cell, electronic total energy -4.4583 eV per atom. Number 11: density of states at the Fermi level 3.57 states/eV/cell, electronic total energy -4.6693 eV per atom. Number 12: density of states at the Fermi level 2.44 states/eV/cell, electronic total energy -6.4678 eV per atom. Number 13: density of states at the Fermi level 5.69 states/eV/cell, electronic total energy -4.2887 eV per atom. Number 14: density of states at the Fermi level 6.35 states/eV/cell, electronic total energy -2.6618 eV per atom. Number 15: density of states at the Fermi level 1.90 states/eV/cell, electronic total energy -4.6617 eV per atom. Number 16: density of states at the Fermi level 2.98 states/eV/cell, electronic total energy -2.7466 eV per atom. Number 17: density of states at the Fermi level 22.95 states/eV/cell, electronic total energy -5.0955 eV per atom. Number 18: density of states at the Fermi level 1.99 states/eV/cell, electronic total energy -6.5219 eV per atom. Number 19: density of states at the Fermi level 3.62 states/eV/cell, electronic total energy -4.4908 eV per atom. Number 20: density of states at the Fermi level 4.05 states/eV/cell, electronic total energy -5.6104 eV per atom.